Entry 1:
ZrHg3 after structural relaxation, computed with PBE.

Results
Energy of formation   0.005 eV per atom
Energy   -9.43 eV/f.u.

a = 5.5945 Å, b = 5.5945 Å, c = 3.1144 Å
α = 90.00°, β = 90.00°, γ = 110.68°
Last column: nearest neighbours and their distance in Å.
Sites, in units of the cell vectors:
Zr1 0.0000 0.0000 0.0000  2 Zr 3.11, 10 Hg 3.18-3.20
Hg1 0.0000 0.5000 0.5000  8 Hg 3.11-3.20, 4 Zr 3.20
Hg2 0.5000 0.0000 0.5000  8 Hg 3.11-3.20, 4 Zr 3.20
Hg3 0.5000 0.5000 0.0000  10 Hg 3.11-3.20, 2 Zr 3.18

=====

Entry 2:
Zr3Hg after structural relaxation, computed with PBE.

Results
Energy of formation   -0.007 eV per atom
Energy   -25.97 eV/f.u.

a = 5.8135 Å, b = 5.8135 Å, c = 5.8135 Å
α = 116.84°, β = 116.84°, γ = 116.84°
Last column: nearest neighbours and their distance in Å.
Sites, in units of the cell vectors:
Zr1 0.0000 0.5000 0.5000  6 Zr 3.04-3.14, 2 Hg 3.04
Zr2 0.5000 0.0000 0.5000  2 Hg 3.04, 6 Zr 3.04-3.14
Zr3 0.5000 0.5000 0.0000  6 Zr 3.04-3.14, 2 Hg 3.04
Hg1 0.0000 0.0000 0.0000  6 Zr 3.04, 2 Hg 3.14

=====

Entry 3:
ZrHg after structural relaxation, computed with PBE.

Results
Energy of formation   0.807 eV per atom
Energy   -7.24 eV/f.u.

a = 7.8171 Å, b = 7.8171 Å, c = 7.8171 Å
α = 109.47°, β = 109.47°, γ = 109.47°
Last column: nearest neighbours and their distance in Å.
Sites, in units of the cell vectors:
Zr1 0.0000 0.0000 0.7691  4 Hg 2.93-3.01, 3 Zr 2.95
Zr2 0.0000 0.7691 0.0000  4 Hg 2.93-3.01, 3 Zr 2.95
Zr3 0.2309 0.2309 0.2309  4 Hg 2.93-3.01, 3 Zr 2.95
Zr4 0.7691 0.0000 0.0000  4 Hg 2.93-3.01, 3 Zr 2.95
Hg1 0.0000 0.0000 0.3944  4 Zr 2.93-3.01
Hg2 0.0000 0.3944 0.0000  4 Zr 2.93-3.01
Hg3 0.3944 0.0000 0.0000  4 Zr 2.93-3.01
Hg4 0.6056 0.6056 0.6056  4 Zr 2.93-3.01

=====

Entry 4:
ZrHg after structural relaxation, computed with PBE.

Results
Energy of formation   -0.095 eV per atom
Energy   -9.04 eV/f.u.

a = 5.9733 Å, b = 4.9111 Å, c = 6.0125 Å
α = 90.00°, β = 90.00°, γ = 90.00°
Last column: nearest neighbours and their distance in Å.
Sites, in units of the cell vectors:
Zr1 0.1357 0.2500 0.1294  7 Hg 2.93-3.17
Zr2 0.3643 0.7500 0.6294  7 Hg 2.93-3.17
Zr3 0.6357 0.2500 0.3706  7 Hg 2.93-3.17
Zr4 0.8643 0.7500 0.8706  7 Hg 2.93-3.17
Hg1 0.0958 0.2500 0.6295  7 Zr 2.93-3.17, 2 Hg 3.13
Hg2 0.4042 0.7500 0.1295  7 Zr 2.93-3.17, 2 Hg 3.13
Hg3 0.5958 0.2500 0.8705  7 Zr 2.93-3.17, 2 Hg 3.13
Hg4 0.9042 0.7500 0.3705  7 Zr 2.93-3.17, 2 Hg 3.13

=====

Entry 5:
Zr3Hg after structural relaxation, computed with PBE.

Results
Energy of formation   -0.046 eV per atom
Energy   -26.13 eV/f.u.

a = 10.1841 Å, b = 10.1841 Å, c = 10.1841 Å
α = 18.45°, β = 18.45°, γ = 18.45°
Last column: nearest neighbours and their distance in Å.
Sites, in units of the cell vectors:
Zr1 0.0000 0.0000 0.0000  12 Zr 3.14-3.27
Zr2 0.2498 0.2498 0.2498  3 Hg 3.13, 9 Zr 3.14-3.27
Zr3 0.7502 0.7502 0.7502  3 Hg 3.13, 9 Zr 3.14-3.27
Hg1 0.5000 0.5000 0.5000  6 Zr 3.13, 6 Hg 3.27

=====

Entry 6:
Zr2Hg after structural relaxation, computed with PBE.

Results
Energy of formation   0.287 eV per atom
Energy   -16.54 eV/f.u.

a = 5.7722 Å, b = 5.7722 Å, c = 9.4752 Å
α = 90.00°, β = 90.00°, γ = 120.00°
Last column: nearest neighbours and their distance in Å.
Sites, in units of the cell vectors:
Zr1 0.0000 0.0000 0.0000  6 Zr 2.91
Zr2 0.0000 0.0000 0.5000  6 Zr 2.91
Zr3 0.1691 0.3382 0.2500  6 Zr 2.84-2.93
Zr4 0.1691 0.8309 0.2500  6 Zr 2.84-2.93
Zr5 0.3382 0.1691 0.7500  6 Zr 2.84-2.93
Zr6 0.6618 0.8309 0.2500  6 Zr 2.84-2.93
Zr7 0.8309 0.1691 0.7500  6 Zr 2.84-2.93
Zr8 0.8309 0.6618 0.7500  6 Zr 2.84-2.93
Hg1 0.3333 0.6667 0.5652  12 Zr 3.38-3.41, 4 Hg 3.50-3.55
Hg2 0.3333 0.6667 0.9348  12 Zr 3.38-3.41, 4 Hg 3.50-3.55
Hg3 0.6667 0.3333 0.0652  12 Zr 3.38-3.41, 4 Hg 3.50-3.55
Hg4 0.6667 0.3333 0.4348  12 Zr 3.38-3.41, 4 Hg 3.50-3.55

=====

Entry 7:
Zr2Hg after structural relaxation, computed with PBE.

Results
Energy of formation   0.199 eV per atom
Energy   -16.80 eV/f.u.

a = 10.6991 Å, b = 10.6991 Å, c = 10.6991 Å
α = 162.93°, β = 156.40°, γ = 29.27°
Last column: nearest neighbours and their distance in Å.
Sites, in units of the cell vectors:
Zr1 0.3009 0.0509 0.2500  5 Zr 2.87-3.18, 4 Hg 3.03
Zr2 0.4396 0.1896 0.2500  5 Zr 2.87-3.18, 4 Hg 3.09
Zr3 0.5604 0.8104 0.7500  5 Zr 2.87-3.18, 4 Hg 3.09
Zr4 0.6991 0.9491 0.7500  5 Zr 2.87-3.18, 4 Hg 3.03
Hg1 0.1329 0.3829 0.7500  8 Zr 3.03-3.09, 2 Hg 3.18
Hg2 0.8671 0.6171 0.2500  8 Zr 3.03-3.09, 2 Hg 3.18

=====

Entry 8:
ZrHg3 after structural relaxation, computed with PBE.

Results
Energy of formation   -0.011 eV per atom
Energy   -9.50 eV/f.u.

a = 3.3121 Å, b = 3.3121 Å, c = 8.1653 Å
α = 90.00°, β = 90.00°, γ = 90.00°
Last column: nearest neighbours and their distance in Å.
Sites, in units of the cell vectors:
Zr1 0.0000 0.0000 0.0000  8 Hg 3.07, 4 Zr 3.31
Hg1 0.0000 0.0000 0.5000  12 Hg 3.15-3.31
Hg2 0.5000 0.5000 0.2428  4 Zr 3.07, 8 Hg 3.15-3.31
Hg3 0.5000 0.5000 0.7572  4 Zr 3.07, 8 Hg 3.15-3.31

=====

Entry 9:
Zr2Hg3 after structural relaxation, computed with PBE.

Results
Energy of formation   -0.012 eV per atom
Energy above the most stable polymorph in this dataset   0.0365 eV/atom
Energy   -18.06 eV/f.u.

a = 12.5290 Å, b = 12.5290 Å, c = 12.5290 Å
α = 14.96°, β = 14.96°, γ = 14.96°
Last column: nearest neighbours and their distance in Å.
Sites, in units of the cell vectors:
Zr1 0.0998 0.0998 0.0998  6 Hg 3.09-3.12, 6 Zr 3.26
Zr2 0.9002 0.9002 0.9002  6 Hg 3.09-3.12, 6 Zr 3.26
Hg1 0.2993 0.2993 0.2993  3 Zr 3.09, 9 Hg 3.15-3.26
Hg2 0.5000 0.5000 0.5000  6 Zr 3.12, 6 Hg 3.26
Hg3 0.7007 0.7007 0.7007  3 Zr 3.09, 9 Hg 3.15-3.26

=====

Entry 10:
Zr3Hg after structural relaxation, computed with PBE.

Results
Energy of formation   -0.113 eV per atom
Energy   -26.40 eV/f.u.

a = 3.2257 Å, b = 3.2257 Å, c = 8.7211 Å
α = 90.00°, β = 90.00°, γ = 90.00°
Last column: nearest neighbours and their distance in Å.
Sites, in units of the cell vectors:
Zr1 0.0000 0.0000 0.0000  12 Zr 3.18-3.23
Zr2 0.5000 0.5000 0.2544  4 Hg 3.13, 8 Zr 3.18-3.23
Zr3 0.5000 0.5000 0.7456  4 Hg 3.13, 8 Zr 3.18-3.23
Hg1 0.0000 0.0000 0.5000  8 Zr 3.13, 4 Hg 3.23

=====

Entry 11:
ZrHg after structural relaxation, computed with PBE.

Results
Energy of formation   -0.170 eV per atom
Energy   -9.19 eV/f.u.

a = 3.2014 Å, b = 3.2014 Å, c = 4.2186 Å
α = 90.00°, β = 90.00°, γ = 90.00°
Last column: nearest neighbours and their distance in Å.
Sites, in units of the cell vectors:
Zr1 0.0000 0.0000 0.0000  8 Hg 3.09, 4 Zr 3.20
Hg1 0.5000 0.5000 0.5000  8 Zr 3.09, 4 Hg 3.20

=====

Entry 12:
ZrHg after structural relaxation, computed with PBE.

Results
Energy of formation   -0.023 eV per atom
Energy   -8.90 eV/f.u.

a = 7.6183 Å, b = 7.6183 Å, c = 7.6183 Å
α = 154.79°, β = 54.60°, γ = 132.41°
Last column: nearest neighbours and their distance in Å.
Sites, in units of the cell vectors:
Zr1 0.0000 0.0000 0.0000  6 Hg 3.04-3.10, 6 Zr 3.13-3.33
Zr2 0.5802 0.2346 0.3456  6 Hg 3.00-3.08, 4 Zr 3.13-3.33
Zr3 0.8890 0.2346 0.6544  6 Hg 3.00-3.08, 4 Zr 3.13-3.33
Hg1 0.0726 0.7336 0.3390  6 Zr 3.00-3.09, 4 Hg 3.18-3.33
Hg2 0.3946 0.7336 0.6610  6 Zr 3.00-3.09, 4 Hg 3.18-3.33
Hg3 0.4950 0.4950 0.0000  6 Zr 3.04-3.10, 6 Hg 3.18-3.33